(1)
{
  "formula": "LaGaFeGe2",
  "functional": "PBE",
  "state": "relaxed",
  "crystal_system": "tetragonal",
  "ef_ev_per_atom": -0.305,
  "total_magnetization_mub_per_fu": 2.11,
  "total_energy_ev_per_cell": -27.17,
  "lattice": [[4.6677, 0.0000, 0.0000], [0.0000, 4.6677, 0.0000], [0.0000, 0.0000, 4.6490]],
  "species": ["Ge", "Ge", "La", "Ga", "Fe"],
  "frac_coords": [[0.0000, 0.5000, 0.0000], [0.5000, 0.0000, 0.0000], [0.5000, 0.5000, 0.5000], [0.0000, 0.0000, 0.5000], [0.0000, 0.0000, 0.0000]]
}


(2)
{
  "formula": "LiGa2FeGe",
  "functional": "PBE",
  "state": "relaxed",
  "crystal_system": "tetragonal",
  "ef_ev_per_atom": -0.069,
  "total_magnetization_mub_per_fu": 1.04,
  "total_energy_ev_per_cell": -21.39,
  "lattice": [[4.5997, 0.0000, 0.0000], [0.0000, 4.5997, 0.0000], [0.0000, 0.0000, 4.4858]],
  "species": ["Li", "Fe", "Ga", "Ga", "Ge"],
  "frac_coords": [[0.5000, 0.5000, 0.5000], [0.0000, 0.0000, 0.0000], [0.0000, 0.5000, 0.0000], [0.5000, 0.0000, 0.0000], [0.0000, 0.0000, 0.5000]]
}